1.
{
  "formula": "CsLiPaTe3",
  "functional": "GGA-PBE",
  "state": "relaxed",
  "final_energy_ev_per_atom": -4.6308,
  "volume_a3_per_cell": 473.66,
  "spacegroup": "P2_1/m",
  "mass_density_g_cm3": 5.28,
  "lattice_angstrom": [[10.295, 0.000, 0.000], [0.000, 4.547, 0.000], [-3.877, 0.000, 10.119]],
  "species": ["Cs", "Cs", "Li", "Li", "Pa", "Pa", "Te", "Te", "Te", "Te", "Te", "Te"],
  "frac_coords": [[0.213, 0.250, 0.259], [0.787, 0.750, 0.741], [0.079, 0.250, 0.599], [0.921, 0.750, 0.401], [0.324, 0.750, 0.849], [0.676, 0.250, 0.151], [0.129, 0.250, 0.871], [0.209, 0.750, 0.551], [0.470, 0.750, 0.156], [0.530, 0.250, 0.844], [0.791, 0.250, 0.449], [0.871, 0.750, 0.129]]
}


2.
{
  "formula": "La2TaPb2",
  "functional": "GGA-PBE",
  "state": "relaxed",
  "volume_a3_per_cell": 163.38,
  "spacegroup": "I4/mmm",
  "delta_e_f_ev_per_fu": 2.62,
  "mass_density_g_cm3": 8.87,
  "lattice_angstrom": [[-2.112, 2.112, 9.156], [2.112, -2.112, 9.156], [2.112, 2.112, -9.156]],
  "species": ["La", "La", "Ta", "Pb", "Pb"],
  "frac_coords": [[0.092, 0.092, 0.000], [0.908, 0.908, 0.000], [0.500, 0.500, 0.000], [0.250, 0.750, 0.500], [0.750, 0.250, 0.500]]
}


3.
{
  "formula": "ScGaO3",
  "functional": "GGA-PBE",
  "state": "relaxed",
  "final_energy_ev_per_atom": -7.4881,
  "volume_a3_per_cell": 109.99,
  "spacegroup": "R-3",
  "mass_density_g_cm3": 4.91,
  "lattice_angstrom": [[2.608, 1.506, 4.669], [-2.608, 1.506, 4.669], [0.000, -3.011, 4.669]],
  "species": ["Sc", "Sc", "Ga", "Ga", "O", "O", "O", "O", "O", "O"],
  "frac_coords": [[0.141, 0.141, 0.141], [0.859, 0.859, 0.859], [0.352, 0.352, 0.352], [0.648, 0.648, 0.648], [0.057, 0.453, 0.733], [0.267, 0.943, 0.547], [0.453, 0.733, 0.057], [0.547, 0.267, 0.943], [0.733, 0.057, 0.453], [0.943, 0.547, 0.267]]
}


4.
{
  "formula": "BiPb2N",
  "functional": "GGA-PBE",
  "state": "relaxed",
  "final_energy_ev_per_atom": -4.3369,
  "volume_a3_per_cell": 217.62,
  "spacegroup": "I-42d",
  "mass_density_g_cm3": 9.73,
  "lattice_angstrom": [[-3.626, 3.626, 4.138], [3.626, -3.626, 4.138], [3.626, 3.626, -4.138]],
  "species": ["Bi", "Bi", "Pb", "Pb", "Pb", "Pb", "N", "N"],
  "frac_coords": [[0.000, 0.000, 0.000], [0.750, 0.250, 0.500], [0.221, 0.125, 0.596], [0.375, 0.779, 0.904], [0.529, 0.625, 0.404], [0.875, 0.471, 0.096], [0.250, 0.750, 0.500], [0.500, 0.500, 0.000]]
}


5.
{
  "formula": "TeAu2",
  "functional": "GGA-PBE",
  "state": "relaxed",
  "final_energy_ev_per_atom": -3.1157,
  "volume_a3_per_cell": 152.36,
  "spacegroup": "C2/m",
  "mass_density_g_cm3": 11.37,
  "lattice_angstrom": [[8.307, -1.508, 0.000], [8.307, 1.508, 0.000], [-1.227, 0.000, 6.081]],
  "species": ["Te", "Te", "Au", "Au", "Au", "Au"],
  "frac_coords": [[0.075, 0.075, 0.277], [0.925, 0.925, 0.723], [0.301, 0.301, 0.883], [0.335, 0.335, 0.364], [0.665, 0.665, 0.636], [0.699, 0.699, 0.117]]
}


6.
{
  "formula": "Y3Ho6Th",
  "functional": "GGA-PBE",
  "state": "relaxed",
  "volume_a3_per_cell": 637.59,
  "spacegroup": "P2_1/m",
  "delta_e_f_ev_per_fu": 0.79,
  "mass_density_g_cm3": 7.75,
  "lattice_angstrom": [[12.985, 0.000, 0.000], [0.000, 3.509, 0.000], [-2.540, 0.000, 13.995]],
  "species": ["Y", "Y", "Y", "Y", "Y", "Y", "Ho", "Ho", "Ho", "Ho", "Ho", "Ho", "Ho", "Ho", "Ho", "Ho", "Ho", "Ho", "Th", "Th"],
  "frac_coords": [[0.076, 0.250, 0.100], [0.374, 0.750, 0.498], [0.422, 0.250, 0.903], [0.578, 0.750, 0.097], [0.626, 0.250, 0.502], [0.924, 0.750, 0.900], [0.121, 0.250, 0.485], [0.192, 0.750, 0.922], [0.221, 0.750, 0.287], [0.272, 0.750, 0.700], [0.345, 0.250, 0.121], [0.499, 0.750, 0.309], [0.501, 0.250, 0.691], [0.655, 0.750, 0.879], [0.728, 0.250, 0.300], [0.779, 0.250, 0.713], [0.808, 0.250, 0.078], [0.879, 0.750, 0.515], [0.041, 0.250, 0.723], [0.959, 0.750, 0.277]]
}